## A
! Pm2Nd3Y5 | Alexandria | PBE | relaxed; values from VASP
&SYSTEM
  ibrav = 0, nat = 20, ntyp = 3
/
ATOMIC_SPECIES
Pm 145.00 Pm.upf
Nd 144.24 Nd.upf
Y 88.91 Y.upf
CELL_PARAMETERS angstrom
-4.727 11.081 3.455
4.727 -11.081 3.455
4.727 11.081 -3.455
ATOMIC_POSITIONS crystal
Pm 0.123 0.099 0.221
Pm 0.377 0.599 0.976
Pm 0.623 0.401 0.024
Pm 0.877 0.901 0.779
Nd 0.130 0.748 0.878
Nd 0.250 0.250 0.000
Nd 0.370 0.248 0.618
Nd 0.630 0.752 0.382
Nd 0.750 0.750 0.000
Nd 0.870 0.252 0.122
Y 0.002 0.250 0.752
Y 0.127 0.410 0.537
Y 0.250 0.750 0.500
Y 0.373 0.910 0.283
Y 0.498 0.250 0.248
Y 0.502 0.750 0.752
Y 0.627 0.090 0.717
Y 0.750 0.250 0.500
Y 0.873 0.590 0.463
Y 0.998 0.750 0.248
! Magnetization = 0.0 μB/f.u.


## B
! Pm2Nd3Y5 | Alexandria | PBE | relaxed; values from VASP
&SYSTEM
  ibrav = 0, nat = 20, ntyp = 3
/
ATOMIC_SPECIES
Pm 145.00 Pm.upf
Nd 144.24 Nd.upf
Y 88.91 Y.upf
CELL_PARAMETERS angstrom
5.404 -8.285 0.000
5.404 8.285 0.000
-5.397 0.000 7.591
ATOMIC_POSITIONS crystal
Pm 0.023 0.268 0.042
Pm 0.268 0.023 0.542
Pm 0.732 0.977 0.458
Pm 0.977 0.732 0.958
Nd 0.226 0.475 0.451
Nd 0.272 0.728 0.250
Nd 0.475 0.226 0.951
Nd 0.525 0.774 0.049
Nd 0.728 0.272 0.750
Nd 0.774 0.525 0.549
Y 0.027 0.973 0.750
Y 0.132 0.370 0.749
Y 0.227 0.773 0.750
Y 0.370 0.132 0.249
Y 0.474 0.526 0.250
Y 0.526 0.474 0.750
Y 0.630 0.868 0.751
Y 0.773 0.227 0.250
Y 0.868 0.630 0.251
Y 0.973 0.027 0.250
! Magnetization = 0.0 μB/f.u.


Decreasing stability: B, A